PdS4O | PBE | optimized geometry

Calculated values
The value obtained for the formation energy (no corrections) is -0.15 eV per atom. Its calculated volume is 144.8 Å³/f.u. For the total energy, the calculation gives -4.590 eV/atom.

Cell: 13.426 5.387 6.091 Å, 59.60 49.87 74.29°
Sites, in units of the cell vectors:
1 Pd 0.500 0.500 0.500
2 Pd 0.000 0.000 0.500
3 S 0.279 0.415 0.775
4 S 0.213 0.172 0.225
5 S 0.721 0.585 0.225
6 S 0.787 0.828 0.775
7 S 0.519 0.994 0.662
8 S 0.052 0.526 0.556
9 S 0.481 0.006 0.338
10 S 0.948 0.474 0.444
11 O 0.596 0.178 0.993
12 O 0.404 0.822 0.007

***

Fe2AuCl6 | PBE | optimized geometry

Calculated values
The value obtained for the formation energy (no corrections) is -0.55 eV per atom. Its calculated volume is 246.0 Å³/f.u. For the energy above the most stable polymorph in this dataset, the calculation gives 0.382 eV/f.u. For the total energy, the calculation gives -4.031 eV/atom.

Cell: 6.911 8.494 8.494 Å, 83.97 84.75 84.75°
Sites, in units of the cell vectors:
1 Fe 0.213 0.620 0.779
2 Fe 0.287 0.221 0.380
3 Fe 0.787 0.380 0.221
4 Fe 0.713 0.779 0.620
5 Au 0.250 0.107 0.893
6 Au 0.750 0.893 0.107
7 Cl 0.415 0.705 0.560
8 Cl 0.085 0.440 0.295
9 Cl 0.585 0.295 0.440
10 Cl 0.915 0.560 0.705
11 Cl 0.855 0.879 0.391
12 Cl 0.645 0.609 0.121
13 Cl 0.145 0.121 0.609
14 Cl 0.355 0.391 0.879
15 Cl 0.161 0.806 0.947
16 Cl 0.339 0.053 0.194
17 Cl 0.839 0.194 0.053
18 Cl 0.661 0.947 0.806

***

| no. | spin magnetization (μB/cell) |
| --- | --- |
| 1 | 0.000 |
| 2 | 18.043 |